Record 1
The following is a DFT calculation (PBE-GGA) of a relaxed structure of RbZrIn.

Calculated values
* density of states at the Fermi level: 3.84 states/eV/cell
* calculated volume: 118.6 Å³/f.u.
* theoretical density: 4.081 g/cm3
* crystal system: triclinic
* energy of formation from the pure elements: 0.05 eV/atom
* symmetry: P-1

a = 3.814 Å, b = 4.657 Å, c = 13.549 Å
α = 80.30°, β = 89.86°, γ = 90.00°
Fractional coordinates of all 6 atoms:
Rb 0.248 0.334 0.340
Rb 0.752 0.666 0.660
Zr 0.249 0.957 0.088
Zr 0.751 0.043 0.912
In 0.251 0.546 0.906
In 0.749 0.454 0.094

Record 2
The following is a DFT calculation (PBE-GGA) of a relaxed structure of RbZrIn.

Calculated values
* density of states at the Fermi level: 7.48 states/eV/cell
* calculated volume: 96.1 Å³/f.u.
* theoretical density: 5.036 g/cm3
* crystal system: tetragonal
* energy of formation from the pure elements: 0.22 eV/atom
* symmetry: P4mm

a = 3.352 Å, b = 3.352 Å, c = 17.112 Å
α = 90.00°, β = 90.00°, γ = 90.00°
Fractional coordinates of all 6 atoms:
Rb 0.000 0.000 0.000
Rb 0.000 0.000 0.370
Zr 0.000 0.000 0.672
Zr 0.500 0.500 0.790
In 0.500 0.500 0.183
In 0.500 0.500 0.542

Record 3
The following is a DFT calculation (PBE-GGA) of a relaxed structure of RbZrIn.

Calculated values
* density of states at the Fermi level: 4.46 states/eV/cell
* calculated volume: 119.5 Å³/f.u.
* theoretical density: 4.050 g/cm3
* crystal system: monoclinic
* energy of formation from the pure elements: 0.07 eV/atom
* symmetry: Pm

a = 3.869 Å, b = 4.602 Å, c = 13.555 Å
α = 90.00°, β = 97.96°, γ = 90.00°
Fractional coordinates of all 6 atoms:
Rb 0.000 0.000 0.000
Rb 0.337 0.500 0.683
Zr 0.216 0.000 0.433
Zr 0.633 0.000 0.261
In 0.126 0.500 0.247
In 0.719 0.500 0.437

Record 4
The following is a DFT calculation (PBE-GGA) of a relaxed structure of RbZrIn.

Calculated values
* density of states at the Fermi level: 1.46 states/eV/cell
* calculated volume: 112.2 Å³/f.u.
* theoretical density: 4.316 g/cm3
* crystal system: monoclinic
* energy of formation from the pure elements: 0.30 eV/atom
* symmetry: Cm

a = 7.774 Å, b = 7.774 Å, c = 6.045 Å
α = 91.53°, β = 91.53°, γ = 37.90°
Fractional coordinates of all 6 atoms:
Rb 0.000 0.000 0.000
Rb 0.557 0.557 0.514
Zr 0.299 0.299 0.280
Zr 0.803 0.803 0.471
In 0.262 0.262 0.750
In 0.736 0.736 0.012

Record 5
The following is a DFT calculation (PBE-GGA) of a relaxed structure of RbZrIn.

Calculated values
* density of states at the Fermi level: 1.98 states/eV/cell
* calculated volume: 129.3 Å³/f.u.
* theoretical density: 3.743 g/cm3
* crystal system: triclinic
* energy of formation from the pure elements: 0.10 eV/atom
* symmetry: P1

a = 4.912 Å, b = 4.913 Å, c = 12.660 Å
α = 78.90°, β = 79.49°, γ = 60.16°
Fractional coordinates of all 6 atoms:
Rb 0.000 0.000 0.000
Rb 0.191 0.223 0.358
Zr 0.102 0.115 0.679
Zr 0.761 0.773 0.679
In 0.396 0.403 0.797
In 0.466 0.485 0.562

Record 6
The following is a DFT calculation (PBE-GGA) of a relaxed structure of RbZrIn2.

Calculated values
* density of states at the Fermi level: 4.42 states/eV/cell
* calculated volume: 116.5 Å³/f.u.
* theoretical density: 5.792 g/cm3
* crystal system: cubic
* energy of formation from the pure elements: 0.43 eV/atom
* symmetry: Fm-3m

a = 5.482 Å, b = 5.482 Å, c = 5.482 Å
α = 60.00°, β = 60.00°, γ = 60.00°
Fractional coordinates of all 4 atoms:
Rb 0.000 0.000 0.000
Zr 0.500 0.500 0.500
In 0.250 0.250 0.250
In 0.750 0.750 0.750

Record 7
The following is a DFT calculation (PBE-GGA) of a relaxed structure of RbZrIn2.

Calculated values
* density of states at the Fermi level: 10.43 states/eV/cell
* calculated volume: 171.5 Å³/f.u.
* theoretical density: 3.934 g/cm3
* crystal system: tetragonal
* energy of formation from the pure elements: 0.57 eV/atom
* symmetry: I-42d

a = 10.766 Å, b = 10.766 Å, c = 10.766 Å
α = 148.32°, β = 148.32°, γ = 45.41°
Fractional coordinates of all 8 atoms:
Rb 0.000 0.000 0.000
Rb 0.750 0.250 0.500
Zr 0.250 0.750 0.500
Zr 0.500 0.500 0.000
In 0.283 0.625 0.158
In 0.375 0.533 0.658
In 0.467 0.125 0.842
In 0.875 0.717 0.342

Record 8
The following is a DFT calculation (PBE-GGA) of a relaxed structure of RbZrIn.

Calculated values
* density of states at the Fermi level: 7.84 states/eV/cell
* calculated volume: 127.2 Å³/f.u.
* theoretical density: 3.806 g/cm3
* crystal system: tetragonal
* energy of formation from the pure elements: 0.45 eV/atom
* symmetry: P4/nmm

a = 5.583 Å, b = 5.583 Å, c = 8.161 Å
α = 90.00°, β = 90.00°, γ = 90.00°
Fractional coordinates of all 6 atoms:
Rb 0.250 0.250 0.141
Rb 0.750 0.750 0.859
Zr 0.250 0.250 0.591
Zr 0.750 0.750 0.409
In 0.250 0.750 0.500
In 0.750 0.250 0.500

Record 9
The following is a DFT calculation (PBE-GGA) of a relaxed structure of RbZrIn.

Calculated values
* density of states at the Fermi level: 1.79 states/eV/cell
* calculated volume: 87.7 Å³/f.u.
* theoretical density: 5.520 g/cm3
* crystal system: hexagonal
* energy of formation from the pure elements: 0.57 eV/atom
* symmetry: P6_3/mmc

a = 5.656 Å, b = 5.656 Å, c = 6.330 Å
α = 90.00°, β = 90.00°, γ = 120.00°
Fractional coordinates of all 6 atoms:
Rb 0.000 0.000 0.000
Rb 0.000 0.000 0.500
Zr 0.333 0.667 0.250
Zr 0.667 0.333 0.750
In 0.333 0.667 0.750
In 0.667 0.333 0.250

Record 10
The following is a DFT calculation (PBE-GGA) of a relaxed structure of Rb2ZrIn2.

Calculated values
* density of states at the Fermi level: 9.43 states/eV/cell
* calculated volume: 175.1 Å³/f.u.
* theoretical density: 4.663 g/cm3
* crystal system: tetragonal
* energy of formation from the pure elements: 0.71 eV/atom
* symmetry: P4/mbm

a = 10.380 Å, b = 10.380 Å, c = 3.251 Å
α = 90.00°, β = 90.00°, γ = 90.00°
Fractional coordinates of all 10 atoms:
Rb 0.123 0.377 0.000
Rb 0.377 0.877 0.000
Rb 0.623 0.123 0.000
Rb 0.877 0.623 0.000
Zr 0.000 0.000 0.000
Zr 0.500 0.500 0.000
In 0.178 0.678 0.500
In 0.322 0.178 0.500
In 0.678 0.822 0.500
In 0.822 0.322 0.500

Record 11
The following is a DFT calculation (PBE-GGA) of a relaxed structure of RbZrIn.

Calculated values
* density of states at the Fermi level: 4.34 states/eV/cell
* calculated volume: 109.4 Å³/f.u.
* theoretical density: 4.423 g/cm3
* crystal system: triclinic
* energy of formation from the pure elements: 0.20 eV/atom
* symmetry: P1

a = 3.463 Å, b = 4.160 Å, c = 15.190 Å
α = 90.31°, β = 90.34°, γ = 90.00°
Fractional coordinates of all 6 atoms:
Rb 0.000 0.000 0.000
Rb 0.495 0.486 0.299
Zr 0.001 0.990 0.505
Zr 0.504 0.492 0.605
In 0.005 0.994 0.709
In 0.497 0.497 0.823

Record 12
The following is a DFT calculation (PBE-GGA) of a relaxed structure of Rb2ZrIn2.

Calculated values
* density of states at the Fermi level: 4.04 states/eV/cell
* calculated volume: 216.6 Å³/f.u.
* theoretical density: 3.771 g/cm3
* crystal system: tetragonal
* energy of formation from the pure elements: 0.69 eV/atom
* symmetry: I4/mmm

a = 13.268 Å, b = 13.268 Å, c = 13.268 Å
α = 162.27°, β = 162.27°, γ = 25.18°
Fractional coordinates of all 5 atoms:
Rb 0.115 0.115 0.000
Rb 0.885 0.885 0.000
Zr 0.500 0.500 0.000
In 0.250 0.750 0.500
In 0.750 0.250 0.500

Record 13
The following is a DFT calculation (PBE-GGA) of a relaxed structure of RbZrIn.

Calculated values
* density of states at the Fermi level: 2.59 states/eV/cell
* calculated volume: 90.6 Å³/f.u.
* theoretical density: 5.345 g/cm3
* crystal system: hexagonal
* energy of formation from the pure elements: 0.66 eV/atom
* symmetry: P-6m2

a = 5.637 Å, b = 5.637 Å, c = 3.291 Å
α = 90.00°, β = 90.00°, γ = 120.00°
Fractional coordinates of all 3 atoms:
Rb 0.000 0.000 0.000
Zr 0.667 0.333 0.500
In 0.333 0.667 0.500

Record 14
The following is a DFT calculation (PBE-GGA) of a relaxed structure of RbZrIn.

Calculated values
* density of states at the Fermi level: 9.74 states/eV/cell
* calculated volume: 90.0 Å³/f.u.
* theoretical density: 5.381 g/cm3
* crystal system: orthorhombic
* energy of formation from the pure elements: 0.31 eV/atom
* symmetry: Pnma

a = 9.134 Å, b = 3.208 Å, c = 12.282 Å
α = 90.00°, β = 90.00°, γ = 90.00°
Fractional coordinates of all 12 atoms:
Rb 0.148 0.250 0.073
Rb 0.352 0.750 0.573
Rb 0.648 0.250 0.427
Rb 0.852 0.750 0.927
Zr 0.040 0.250 0.389
Zr 0.460 0.750 0.889
Zr 0.540 0.250 0.111
Zr 0.960 0.750 0.611
In 0.175 0.250 0.783
In 0.325 0.750 0.283
In 0.675 0.250 0.717
In 0.825 0.750 0.217

Record 15
The following is a DFT calculation (PBE-GGA) of a relaxed structure of RbZrIn.

Calculated values
* density of states at the Fermi level: 13.31 states/eV/cell
* calculated volume: 186.8 Å³/f.u.
* theoretical density: 2.591 g/cm3
* crystal system: hexagonal
* energy of formation from the pure elements: 1.37 eV/atom
* symmetry: P6_3/mmc

a = 6.196 Å, b = 6.196 Å, c = 11.237 Å
α = 90.00°, β = 90.00°, γ = 120.00°
Fractional coordinates of all 6 atoms:
Rb 0.333 0.667 0.250
Rb 0.667 0.333 0.750
Zr 0.000 0.000 0.000
Zr 0.000 0.000 0.500
In 0.000 0.000 0.250
In 0.000 0.000 0.750

Record 16
The following is a DFT calculation (PBE-GGA) of a relaxed structure of RbZrIn.

Calculated values
* density of states at the Fermi level: 0.09 states/eV/cell
* calculated volume: 101.2 Å³/f.u.
* theoretical density: 4.781 g/cm3
* crystal system: cubic
* energy of formation from the pure elements: 0.98 eV/atom
* symmetry: F-43m

a = 5.232 Å, b = 5.232 Å, c = 5.232 Å
α = 60.00°, β = 60.00°, γ = 60.00°
Fractional coordinates of all 3 atoms:
Rb 0.000 0.000 0.000
Zr 0.750 0.750 0.750
In 0.500 0.500 0.500

Record 17
The following is a DFT calculation (PBE-GGA) of a relaxed structure of RbZrIn.

Calculated values
* density of states at the Fermi level: 0.74 states/eV/cell
* calculated volume: 125.8 Å³/f.u.
* theoretical density: 3.849 g/cm3
* crystal system: triclinic
* energy of formation from the pure elements: 0.19 eV/atom
* symmetry: P1

a = 4.390 Å, b = 5.255 Å, c = 12.177 Å
α = 80.98°, β = 89.55°, γ = 65.32°
Fractional coordinates of all 6 atoms:
Rb 0.000 0.000 0.000
Rb 0.354 0.319 0.335
Zr 0.336 0.341 0.709
Zr 0.693 0.634 0.562
In 0.008 0.002 0.613
In 0.656 0.697 0.800

Record 18
The following is a DFT calculation (PBE-GGA) of a relaxed structure of RbZrIn.

Calculated values
* density of states at the Fermi level: 5.73 states/eV/cell
* calculated volume: 105.8 Å³/f.u.
* theoretical density: 4.576 g/cm3
* crystal system: triclinic
* energy of formation from the pure elements: -0.01 eV/atom
* symmetry: P-1

a = 3.490 Å, b = 4.194 Å, c = 14.456 Å
α = 89.69°, β = 89.30°, γ = 90.00°
Fractional coordinates of all 6 atoms:
Rb 0.233 0.243 0.344
Rb 0.767 0.757 0.656
Zr 0.247 0.249 0.059
Zr 0.753 0.751 0.941
In 0.259 0.253 0.840
In 0.741 0.747 0.160

Record 19
The following is a DFT calculation (PBE-GGA) of a relaxed structure of RbZrIn.

Calculated values
* density of states at the Fermi level: 7.09 states/eV/cell
* calculated volume: 108.5 Å³/f.u.
* theoretical density: 4.460 g/cm3
* crystal system: orthorhombic
* energy of formation from the pure elements: 0.24 eV/atom
* symmetry: Cmcm

a = 7.738 Å, b = 7.738 Å, c = 5.563 Å
α = 90.00°, β = 90.00°, γ = 139.34°
Fractional coordinates of all 6 atoms:
Rb 0.220 0.780 0.750
Rb 0.780 0.220 0.250
Zr 0.500 0.500 0.000
Zr 0.500 0.500 0.500
In 0.047 0.953 0.250
In 0.953 0.047 0.750

Record 20
The following is a DFT calculation (PBE-GGA) of a relaxed structure of InRe.

Calculated values
* density of states at the Fermi level: 1.58 states/eV/cell
* calculated volume: 59.5 Å³/f.u.
* theoretical density: 8.403 g/cm3
* crystal system: cubic
* energy of formation from the pure elements: 2.39 eV/atom
* symmetry: F-43m

a = 4.382 Å, b = 4.382 Å, c = 4.382 Å
α = 60.00°, β = 60.00°, γ = 60.00°
Fractional coordinates of all 2 atoms:
In 0.000 0.000 0.000
Re 0.750 0.750 0.750